[1]
# TlSn2WS PBE-GGA optimized geometry
# formation energy (no corrections)	0.75	eV per atom
# mass density	7.2	g cm⁻³
# E	-23.71	eV/cell
data_TlSn2WS
_chemical_formula_sum 'Tl1 Sn2 W1 S1'
_cell_length_a 5.277
_cell_length_b 5.277
_cell_length_c 5.445
_cell_angle_alpha 90.00
_cell_angle_beta 90.00
_cell_angle_gamma 90.00
_space_group_name_H-M_alt 'P 4/m m m'
_space_group_IT_number 123
_space_group_name_Hall '-P 4 2'
loop_
_atom_site_label
_atom_site_fract_x
_atom_site_fract_y
_atom_site_fract_z
Tl1 0.000 0.000 0.000
Sn1 0.000 0.500 0.500
W1 0.000 0.000 0.500
S1 0.500 0.500 0.000



[2]
# YTl2SnS4 PBE-GGA optimized geometry
# formation energy (no corrections)	-0.92	eV per atom
# mass density	5.9	g cm⁻³
# E	-39.05	eV/cell
data_YTl2SnS4
_chemical_formula_sum 'Y1 Tl2 Sn1 S4'
_cell_length_a 7.046
_cell_length_b 3.973
_cell_length_c 7.828
_cell_angle_alpha 90.00
_cell_angle_beta 106.96
_cell_angle_gamma 90.00
_space_group_name_H-M_alt 'P 1 2/m 1'
_space_group_IT_number 10
loop_
_space_group_symop_operation_xyz
'x,y,z'
'-x,-y,-z'
'-x,y,-z'
'x,-y,z'
loop_
_atom_site_label
_atom_site_fract_x
_atom_site_fract_y
_atom_site_fract_z
Y1 0.000 0.000 0.000
Tl1 0.000 0.500 0.500
Tl2 0.500 0.000 0.500
Sn1 0.500 0.500 0.000
S1 0.234 0.500 0.197
S2 0.266 0.000 0.800



[3]
# Y4TlSnS PBE-GGA optimized geometry
# formation energy (no corrections)	-0.80	eV per atom
# mass density	5.8	g cm⁻³
# E	-167.75	eV/cell
data_Y4TlSnS
_chemical_formula_sum 'Y16 Tl4 Sn4 S4'
_cell_length_a 7.151
_cell_length_b 16.068
_cell_length_c 7.138
_cell_angle_alpha 90.00
_cell_angle_beta 90.00
_cell_angle_gamma 90.00
_space_group_name_H-M_alt 'C m c m'
_space_group_IT_number 63
_space_group_name_Hall '-C 2c 2'
loop_
_atom_site_label
_atom_site_fract_x
_atom_site_fract_y
_atom_site_fract_z
Y1 0.000 0.079 0.250
Y2 0.000 0.420 0.250
Y3 0.250 0.250 0.000
Tl1 0.000 0.115 0.750
Sn1 0.000 0.386 0.750
S1 0.000 0.249 0.250



[4]
# TlZnSnS3 PBE-GGA optimized geometry
# formation energy (no corrections)	-0.45	eV per atom
# mass density	5.2	g cm⁻³
# E	-45.48	eV/cell
data_TlZnSnS3
_chemical_formula_sum 'Tl2 Zn2 Sn2 S6'
_cell_length_a 8.909
_cell_length_b 3.862
_cell_length_c 9.378
_cell_angle_alpha 90.00
_cell_angle_beta 104.96
_cell_angle_gamma 90.00
_space_group_name_H-M_alt 'P 1 21/m 1'
_space_group_IT_number 11
loop_
_space_group_symop_operation_xyz
'x,y,z'
'-x,-y,-z'
'-x,y+1/2,-z'
'x,-y+1/2,z'
loop_
_atom_site_label
_atom_site_fract_x
_atom_site_fract_y
_atom_site_fract_z
Tl1 0.191 0.250 0.222
Zn1 0.084 0.250 0.604
Sn1 0.340 0.750 0.866
S1 0.123 0.250 0.861
S2 0.193 0.750 0.524
S3 0.449 0.750 0.155



[5]
# ZrTl3Sn2S6 PBE-GGA optimized geometry
# formation energy (no corrections)	-0.69	eV per atom
# mass density	6.1	g cm⁻³
# E	-113.48	eV/cell
data_ZrTl3Sn2S6
_chemical_formula_sum 'Zr2 Tl6 Sn4 S12'
_cell_length_a 6.966
_cell_length_b 12.016
_cell_length_c 7.728
_cell_angle_alpha 90.00
_cell_angle_beta 107.17
_cell_angle_gamma 90.00
_space_group_name_H-M_alt 'C 1 2/m 1'
_space_group_IT_number 12
loop_
_space_group_symop_operation_xyz
'x,y,z'
'-x,-y,-z'
'-x,y,-z'
'x,-y,z'
'x+1/2,y+1/2,z'
'-x+1/2,-y+1/2,-z'
'-x+1/2,y+1/2,-z'
'x+1/2,-y+1/2,z'
loop_
_atom_site_label
_atom_site_fract_x
_atom_site_fract_y
_atom_site_fract_z
Zr1 0.000 0.000 0.000
Tl1 0.000 0.169 0.500
Tl2 0.000 0.500 0.500
Sn1 0.000 0.333 0.000
S1 0.220 0.156 0.194
S2 0.246 0.000 0.802



[6]
# ZrTl2SnS4 PBE-GGA optimized geometry
# formation energy (no corrections)	-0.83	eV per atom
# mass density	6.1	g cm⁻³
# E	-40.41	eV/cell
data_ZrTl2SnS4
_chemical_formula_sum 'Zr1 Tl2 Sn1 S4'
_cell_length_a 7.066
_cell_length_b 3.925
_cell_length_c 7.687
_cell_angle_alpha 90.00
_cell_angle_beta 106.29
_cell_angle_gamma 90.00
_space_group_name_H-M_alt 'P 1 2/m 1'
_space_group_IT_number 10
loop_
_space_group_symop_operation_xyz
'x,y,z'
'-x,-y,-z'
'-x,y,-z'
'x,-y,z'
loop_
_atom_site_label
_atom_site_fract_x
_atom_site_fract_y
_atom_site_fract_z
Zr1 0.000 0.000 0.000
Tl1 0.000 0.500 0.500
Tl2 0.500 0.000 0.500
Sn1 0.500 0.500 0.000
S1 0.212 0.500 0.192
S2 0.240 0.000 0.801